# CeHo2Ga3

An optimized crystal structure of CeHo2Ga3 (PBE-GGA, Alexandria via LeMat-Bulk).

SG = P-3m1
spin magnetization = 0.7 μB per formula unit
DFT formation energy = -543 meV/atom
energy = -4.5717 eV/atom

Cell lengths 5.0616, 5.0616, 12.4772 Å; angles 90.00, 90.00, 120.00 degrees
Closest atoms and distances in Å follow each position.
Fractional coordinates of all 12 atoms:
Ga 0.6667 0.3333 0.5855  4 Ce 3.08-3.12, 4 Ho 3.11-3.14
Ga 0.3333 0.6667 0.4145  4 Ce 3.08-3.12, 4 Ho 3.11-3.14
Ga 0.3333 0.6667 0.9180  7 Ho 3.06-3.10, 1 Ce 3.16
Ga 0.0000 0.0000 0.2464  5 Ho 3.07-3.16, 3 Ce 3.13
Ga 0.6667 0.3333 0.0820  7 Ho 3.06-3.10, 1 Ce 3.16
Ga 0.0000 0.0000 0.7536  5 Ho 3.07-3.16, 3 Ce 3.13
Ho 0.0000 0.0000 0.0000  8 Ga 3.07-3.10
Ho 0.3333 0.6667 0.1632  8 Ga 3.06-3.14
Ho 0.0000 0.0000 0.5000  8 Ga 3.11-3.16
Ho 0.6667 0.3333 0.8368  8 Ga 3.06-3.14
Ce 0.6667 0.3333 0.3357  8 Ga 3.08-3.16
Ce 0.3333 0.6667 0.6643  8 Ga 3.08-3.16